VASP calculation (PBE) on a relaxed VZnPd crystal.

E_form   -130 meV/atom
Total magnetization   0.07 μB/atom
Total energy   -15.98 eV for the cell shown

```
data_VZnPd
_cell_length_a 4.3405
_cell_length_b 4.3405
_cell_length_c 2.6308
_cell_angle_alpha 90.00
_cell_angle_beta 90.00
_cell_angle_gamma 120.00
_symmetry_space_group_name_H-M 'P 3 m 1'
_symmetry_Int_Tables_number 156
_symmetry_space_group_name_Hall 'P 3 -2"'
loop_
_atom_site_label
_atom_site_type_symbol
_atom_site_fract_x
_atom_site_fract_y
_atom_site_fract_z
V1 V 0.0000 0.0000 0.0000
Zn1 Zn 0.3333 0.6667 0.4968
Pd1 Pd 0.6667 0.3333 0.5035
```